[1]
# RbCaPmBr6, optimized geometry, DFT PBE
data_RbCaPmBr6
_symmetry_space_group_name_H-M 'P -3 1 c'
_symmetry_Int_Tables_number 163
_symmetry_space_group_name_Hall '-P 3 2c'
_cell_length_a 7.5871
_cell_length_b 7.5871
_cell_length_c 14.9658
_cell_angle_alpha 90.00
_cell_angle_beta 90.00
_cell_angle_gamma 120.00
loop_
_atom_site_label
_atom_site_fract_x
_atom_site_fract_y
_atom_site_fract_z
Rb1 0.0000 0.0000 0.0000
Ca1 0.3333 0.6667 0.2500
Pm1 0.3333 0.6667 0.7500
Br1 0.0028 0.3764 0.6390
# Raw total energy = -0.1436 Ha/atom
# Formation energy without anion corrections = -1.9347 eV/atom

***

[2]
# Tl3SnCl6, optimized geometry, DFT PBE
data_Tl3SnCl6
_symmetry_space_group_name_H-M 'R -3'
_symmetry_Int_Tables_number 148
_symmetry_space_group_name_Hall '-R 3'
_cell_length_a 12.4890
_cell_length_b 12.4890
_cell_length_c 14.8490
_cell_angle_alpha 90.00
_cell_angle_beta 90.00
_cell_angle_gamma 120.00
loop_
_atom_site_label
_atom_site_fract_x
_atom_site_fract_y
_atom_site_fract_z
Tl1 0.0423 0.4351 0.3964
Sn1 0.0000 0.0000 0.0000
Sn2 0.0000 0.0000 0.5000
Cl1 0.0602 0.1808 0.3998
Cl2 0.0990 0.8786 0.1055
# Energy above the lowest structure with this stoichiometry = 5 meV/atom
# Raw total energy = -0.1174 Ha/atom
# Formation energy without anion corrections = -0.9769 eV/atom

***

[3]
# Sc4Zn5Au6, optimized geometry, DFT PBE
data_Sc4Zn5Au6
_symmetry_space_group_name_H-M 'C m c 21'
_symmetry_Int_Tables_number 36
_cell_length_a 3.525
_cell_length_b 21.705
_cell_length_c 14.589
_cell_angle_alpha 90.00
_cell_angle_beta 90.00
_cell_angle_gamma 90.00
loop_
_symmetry_equiv_pos_as_xyz
'x,y,z'
'-x,-y,z+1/2'
'-x,y,z'
'x,-y,z+1/2'
'x+1/2,y+1/2,z'
'-x+1/2,-y+1/2,z+1/2'
'-x+1/2,y+1/2,z'
'x+1/2,-y+1/2,z+1/2'
loop_
_atom_site_label
_atom_site_fract_x
_atom_site_fract_y
_atom_site_fract_z
Sc1 0.000 0.024 0.000
Sc2 0.000 0.062 0.270
Sc3 0.000 0.126 0.774
Sc4 0.000 0.186 0.456
Zn1 0.000 0.190 0.164
Zn2 0.000 0.311 0.126
Zn3 0.000 0.327 0.794
Zn4 0.000 0.366 0.443
Zn5 0.000 0.479 0.161
Au1 0.000 0.097 0.589
Au2 0.000 0.219 0.993
Au3 0.000 0.273 0.305
Au4 0.000 0.400 0.620
Au5 0.000 0.417 0.926
Au6 0.000 0.466 0.342
# DFT formation energy = -515 meV per atom
# Raw total energy = -0.1448 Ha/atom

***

[4]
# La3Al2Ni6, optimized geometry, DFT PBE
data_La3Al2Ni6
_symmetry_space_group_name_H-M 'I m -3 m'
_symmetry_Int_Tables_number 229
_symmetry_space_group_name_Hall '-I 4 2 3'
_cell_length_a 9.167
_cell_length_b 9.167
_cell_length_c 9.167
_cell_angle_alpha 90.00
_cell_angle_beta 90.00
_cell_angle_gamma 90.00
loop_
_atom_site_label
_atom_site_fract_x
_atom_site_fract_y
_atom_site_fract_z
La1 0.000 0.000 0.291
Al1 0.250 0.250 0.250
Ni1 0.000 0.335 0.335
# DFT formation energy = -430 meV per atom
# Raw total energy = -0.2061 Ha/atom

***

[5]
# Nb3TlGe, optimized geometry, DFT PBE
data_Nb3TlGe
_symmetry_space_group_name_H-M 'P m -3 m'
_symmetry_Int_Tables_number 221
_symmetry_space_group_name_Hall '-P 4 2 3'
_cell_length_a 4.805
_cell_length_b 4.805
_cell_length_c 4.805
_cell_angle_alpha 90.00
_cell_angle_beta 90.00
_cell_angle_gamma 90.00
loop_
_atom_site_label
_atom_site_fract_x
_atom_site_fract_y
_atom_site_fract_z
Nb1 0.000 0.000 0.500
Tl1 0.500 0.500 0.500
Ge1 0.000 0.000 0.000
# DFT formation energy = 799 meV per atom
# Energy above the lowest structure with this stoichiometry = 0 meV/atom
# Raw total energy = -0.2440 Ha/atom

***

[6]
# MnSb2HSe, optimized geometry, DFT PBE
data_MnSb2HSe
_symmetry_space_group_name_H-M 'P 4/m m m'
_symmetry_Int_Tables_number 123
_symmetry_space_group_name_Hall '-P 4 2'
_cell_length_a 5.144
_cell_length_b 5.144
_cell_length_c 3.292
_cell_angle_alpha 90.00
_cell_angle_beta 90.00
_cell_angle_gamma 90.00
loop_
_atom_site_label
_atom_site_fract_x
_atom_site_fract_y
_atom_site_fract_z
Mn1 0.000 0.000 0.000
Sb1 0.000 0.500 0.500
H1 0.000 0.000 0.500
Se1 0.500 0.500 0.000
# Raw total energy = -0.1580 Ha/atom

***

[7]
# AlS3Cl, optimized geometry, DFT PBE
data_AlS3Cl
_symmetry_space_group_name_H-M 'P m -3 m'
_symmetry_Int_Tables_number 221
_symmetry_space_group_name_Hall '-P 4 2 3'
_cell_length_a 4.669
_cell_length_b 4.669
_cell_length_c 4.669
_cell_angle_alpha 90.00
_cell_angle_beta 90.00
_cell_angle_gamma 90.00
loop_
_atom_site_label
_atom_site_fract_x
_atom_site_fract_y
_atom_site_fract_z
Al1 0.000 0.000 0.000
S1 0.000 0.500 0.500
Cl1 0.500 0.500 0.500
# Energy above the lowest structure with this stoichiometry = 1608 meV/atom
# Raw total energy = -0.0959 Ha/atom
# Formation energy without anion corrections = 0.9839 eV/atom

***

[8]
# Sm3AlGe6Pd2, optimized geometry, DFT PBE
data_Sm3AlGe6Pd2
_symmetry_space_group_name_H-M 'P -3 m 1'
_symmetry_Int_Tables_number 164
_symmetry_space_group_name_Hall '-P 3 2"'
_cell_length_a 5.9046
_cell_length_b 5.9046
_cell_length_c 8.3667
_cell_angle_alpha 90.00
_cell_angle_beta 90.00
_cell_angle_gamma 120.00
loop_
_atom_site_label
_atom_site_fract_x
_atom_site_fract_y
_atom_site_fract_z
Sm1 0.0000 0.0000 0.0000
Sm2 0.3333 0.6667 0.6098
Al1 0.0000 0.0000 0.5000
Ge1 0.1857 0.3713 0.2734
Pd1 0.3333 0.6667 0.0154
# DFT formation energy = -419 meV per atom
# Raw total energy = -0.1869 Ha/atom

***

[9]
# Tb3Nd2Dy6Er, optimized geometry, DFT PBE
data_Tb3Nd2Dy6Er
_symmetry_space_group_name_H-M 'C 1 2/m 1'
_symmetry_Int_Tables_number 12
_cell_length_a 6.178
_cell_length_b 10.692
_cell_length_c 11.814
_cell_angle_alpha 90.00
_cell_angle_beta 99.98
_cell_angle_gamma 90.00
loop_
_symmetry_equiv_pos_as_xyz
'x,y,z'
'-x,-y,-z'
'-x,y,-z'
'x,-y,z'
'x+1/2,y+1/2,z'
'-x+1/2,-y+1/2,-z'
'-x+1/2,y+1/2,-z'
'x+1/2,-y+1/2,z'
loop_
_atom_site_label
_atom_site_fract_x
_atom_site_fract_y
_atom_site_fract_z
Tb1 0.000 0.000 0.000
Tb2 0.000 0.334 0.000
Nd1 0.000 0.167 0.500
Dy1 0.248 0.500 0.248
Dy2 0.250 0.166 0.248
Er1 0.000 0.500 0.500
# DFT formation energy = 15 meV per atom
# Raw total energy = -0.1697 Ha/atom

***

[10]
# WSeN2, optimized geometry, DFT PBE
data_WSeN2
_symmetry_space_group_name_H-M 'R -3 m'
_symmetry_Int_Tables_number 166
_symmetry_space_group_name_Hall '-R 3 2"'
_cell_length_a 2.9807
_cell_length_b 2.9807
_cell_length_c 19.9683
_cell_angle_alpha 90.00
_cell_angle_beta 90.00
_cell_angle_gamma 120.00
loop_
_atom_site_label
_atom_site_fract_x
_atom_site_fract_y
_atom_site_fract_z
W1 0.0000 0.0000 0.0000
Se1 0.0000 0.0000 0.5000
N1 0.0000 0.0000 0.3932
# Raw total energy = -0.2970 Ha/atom
# Formation energy without anion corrections = 0.1901 eV/atom

***

[11]
# EuPaOs4, optimized geometry, DFT PBE
data_EuPaOs4
_symmetry_space_group_name_H-M 'F -4 3 m'
_symmetry_Int_Tables_number 216
_symmetry_space_group_name_Hall 'F -4 2 3'
_cell_length_a 7.614
_cell_length_b 7.614
_cell_length_c 7.614
_cell_angle_alpha 90.00
_cell_angle_beta 90.00
_cell_angle_gamma 90.00
loop_
_atom_site_label
_atom_site_fract_x
_atom_site_fract_y
_atom_site_fract_z
Eu1 0.000 0.000 0.000
Pa1 0.250 0.250 0.750
Os1 0.125 0.125 0.375
# DFT formation energy = -95 meV per atom
# Raw total energy = -0.3997 Ha/atom

***

[12]
# UNi3P3, optimized geometry, DFT PBE
data_UNi3P3
_symmetry_space_group_name_H-M 'R -3'
_symmetry_Int_Tables_number 148
_symmetry_space_group_name_Hall '-R 3'
_cell_length_a 6.3755
_cell_length_b 6.3755
_cell_length_c 19.1170
_cell_angle_alpha 90.00
_cell_angle_beta 90.00
_cell_angle_gamma 120.00
loop_
_atom_site_label
_atom_site_fract_x
_atom_site_fract_y
_atom_site_fract_z
U1 0.0000 0.0000 0.1670
Ni1 0.0004 0.3324 0.2926
P1 0.0017 0.6734 0.5894
# DFT formation energy = -618 meV per atom
# Energy above the lowest structure with this stoichiometry = 0 meV/atom
# Raw total energy = -0.2582 Ha/atom

***

[13]
# PrTiS, optimized geometry, DFT PBE
data_PrTiS
_symmetry_space_group_name_H-M 'I m m m'
_symmetry_Int_Tables_number 71
_symmetry_space_group_name_Hall '-I 2 2'
_cell_length_a 3.715
_cell_length_b 4.616
_cell_length_c 15.611
_cell_angle_alpha 90.00
_cell_angle_beta 90.00
_cell_angle_gamma 90.00
loop_
_atom_site_label
_atom_site_fract_x
_atom_site_fract_y
_atom_site_fract_z
Pr1 0.000 0.000 0.166
Ti1 0.000 0.248 0.500
S1 0.000 0.000 0.351
# Raw total energy = -0.2380 Ha/atom
# Formation energy without anion corrections = -0.8748 eV/atom

***

[14]
# Ce2USe, optimized geometry, DFT PBE
data_Ce2USe
_symmetry_space_group_name_H-M 'P 4/m m m'
_symmetry_Int_Tables_number 123
_symmetry_space_group_name_Hall '-P 4 2'
_cell_length_a 3.768
_cell_length_b 3.768
_cell_length_c 6.900
_cell_angle_alpha 90.00
_cell_angle_beta 90.00
_cell_angle_gamma 90.00
loop_
_atom_site_label
_atom_site_fract_x
_atom_site_fract_y
_atom_site_fract_z
Ce1 0.000 0.000 0.242
U1 0.500 0.500 0.500
Se1 0.500 0.500 0.000
# Raw total energy = -0.2596 Ha/atom
# Formation energy without anion corrections = -0.4028 eV/atom

***

[15]
# CaScCdGa, optimized geometry, DFT PBE
data_CaScCdGa
_symmetry_space_group_name_H-M 'P 4 m m'
_symmetry_Int_Tables_number 99
_cell_length_a 3.540
_cell_length_b 3.540
_cell_length_c 7.393
_cell_angle_alpha 90.00
_cell_angle_beta 90.00
_cell_angle_gamma 90.00
loop_
_symmetry_equiv_pos_as_xyz
'x,y,z'
'-y,x,z'
'-x,-y,z'
'y,-x,z'
'-x,y,z'
'y,x,z'
'x,-y,z'
'-y,-x,z'
loop_
_atom_site_label
_atom_site_fract_x
_atom_site_fract_y
_atom_site_fract_z
Ca1 0.000 0.000 0.000
Sc1 0.000 0.000 0.531
Cd1 0.500 0.500 0.291
Ga1 0.500 0.500 0.733
# DFT formation energy = -419 meV per atom
# Energy above the lowest structure with this stoichiometry = 0 meV/atom
# Raw total energy = -0.1282 Ha/atom

***

[16]
# SiSnW, optimized geometry, DFT PBE
data_SiSnW
_symmetry_space_group_name_H-M 'P 1 21/m 1'
_symmetry_Int_Tables_number 11
_cell_length_a 5.868
_cell_length_b 3.280
_cell_length_c 5.931
_cell_angle_alpha 90.00
_cell_angle_beta 97.53
_cell_angle_gamma 90.00
loop_
_symmetry_equiv_pos_as_xyz
'x,y,z'
'-x,-y,-z'
'-x,y+1/2,-z'
'x,-y+1/2,z'
loop_
_atom_site_label
_atom_site_fract_x
_atom_site_fract_y
_atom_site_fract_z
Si1 0.153 0.250 0.044
Sn1 0.395 0.250 0.694
W1 0.117 0.750 0.362
# Energy above the lowest structure with this stoichiometry = 161 meV/atom
# Raw total energy = -0.2658 Ha/atom
# Formation energy without anion corrections = 0.2265 eV/atom

***

[17]
# PmHfPb, optimized geometry, DFT PBE
data_PmHfPb
_symmetry_space_group_name_H-M 'I 4 m m'
_symmetry_Int_Tables_number 107
_symmetry_space_group_name_Hall 'I 4 -2'
_cell_length_a 3.680
_cell_length_b 3.680
_cell_length_c 12.162
_cell_angle_alpha 90.00
_cell_angle_beta 90.00
_cell_angle_gamma 90.00
loop_
_atom_site_label
_atom_site_fract_x
_atom_site_fract_y
_atom_site_fract_z
Pm1 0.000 0.000 0.000
Hf1 0.000 0.000 0.676
Pb1 0.000 0.000 0.320
# DFT formation energy = -25 meV per atom
# Energy above the lowest structure with this stoichiometry = 8 meV/atom
# Raw total energy = -0.2264 Ha/atom

***

[18]
# KS2ClO, optimized geometry, DFT PBE
data_KS2ClO
_symmetry_space_group_name_H-M 'P 4/m m m'
_symmetry_Int_Tables_number 123
_symmetry_space_group_name_Hall '-P 4 2'
_cell_length_a 6.573
_cell_length_b 6.573
_cell_length_c 5.863
_cell_angle_alpha 90.00
_cell_angle_beta 90.00
_cell_angle_gamma 90.00
loop_
_atom_site_label
_atom_site_fract_x
_atom_site_fract_y
_atom_site_fract_z
K1 0.000 0.000 0.000
S1 0.000 0.500 0.000
Cl1 0.000 0.000 0.500
O1 0.500 0.500 0.500
# Energy above the lowest structure with this stoichiometry = 1233 meV/atom
# Raw total energy = -0.0777 Ha/atom
# Formation energy without anion corrections = 1.1182 eV/atom

***

[19]
# NaNdPdPt, optimized geometry, DFT PBE
data_NaNdPdPt
_symmetry_space_group_name_H-M 'F -4 3 m'
_symmetry_Int_Tables_number 216
_symmetry_space_group_name_Hall 'F -4 2 3'
_cell_length_a 6.980
_cell_length_b 6.980
_cell_length_c 6.980
_cell_angle_alpha 90.00
_cell_angle_beta 90.00
_cell_angle_gamma 90.00
loop_
_atom_site_label
_atom_site_fract_x
_atom_site_fract_y
_atom_site_fract_z
Na1 0.000 0.000 0.000
Nd1 0.000 0.000 0.500
Pd1 0.250 0.250 0.750
Pt1 0.250 0.250 0.250
# DFT formation energy = -577 meV per atom
# Raw total energy = -0.1803 Ha/atom